Entry 1:
9
Lattice="-1.739 2.498 3.020 0.678 -3.102 2.956 10.843 3.030 0.693" Properties=species:S:1:pos:R:3 comment="Tm2NiSn6 GGA-PBEsol optimized geometry" ef_ev_per_atom=-0.494 pbc="T T T"
Tm 3.557 1.526 0.786
Tm 5.547 4.002 2.928
Ni -0.531 -0.302 2.988
Sn 8.573 3.678 1.894
Sn 0.531 1.850 1.820
Sn 1.759 -0.942 1.792
Sn 8.023 3.368 4.878
Sn 3.546 1.447 3.889
Sn 6.236 0.979 2.781

Entry 2:
4
Lattice="-0.502 -1.485 4.252 -2.665 -3.564 0.856 1.833 -3.952 1.251" Properties=species:S:1:pos:R:3 comment="Ta2AuCl GGA-PBEsol optimized geometry" raw_formation_energy_mev_per_atom=239.9 relative_energy_ev_per_atom=0.379 pbc="T T T"
Cl -0.667 -4.500 3.180
Au 0.000 0.000 0.000
Ta -0.334 -2.250 1.590
Ta -1.001 -6.751 4.769

Entry 3:
4
Lattice="-1.319 1.669 2.191 -3.192 -1.929 -0.452 2.594 -5.644 5.773" Properties=species:S:1:pos:R:3 comment="TlReBr2 GGA-PBEsol optimized geometry" raw_formation_energy_mev_per_atom=499.0 relative_energy_ev_per_atom=0.000 pbc="T T T"
Re -0.958 -2.952 3.756
Tl -1.596 -0.965 -0.226
Br 0.149 -0.922 2.880
Br 1.126 -3.053 5.083

Entry 4:
16
Lattice="5.345 0.000 0.000 0.000 5.679 0.000 0.000 0.000 6.329" Properties=species:S:1:pos:R:3 comment="PuTcB2 GGA-PBEsol optimized geometry" ef_ev_per_atom=-0.346 pbc="T T T"
B 4.911 3.595 3.396
B 3.106 0.755 6.098
B 2.239 2.084 2.933
B 0.434 4.923 0.232
B 0.434 2.084 2.933
B 2.239 4.923 0.232
B 3.106 3.595 3.396
B 4.911 0.755 6.098
Tc 4.009 4.608 5.172
Tc 4.009 1.769 4.322
Tc 1.336 1.071 1.157
Tc 1.336 3.910 2.008
Pu 4.009 0.007 2.141
Pu 4.009 2.847 1.024
Pu 1.336 5.671 4.188
Pu 1.336 2.832 5.305

Entry 5:
15
Lattice="-3.613 -1.277 -4.078 -0.828 -5.477 -0.794 -4.957 -1.919 1.750" Properties=species:S:1:pos:R:3 comment="NaTeH6O6F GGA-PBEsol optimized geometry" final_energy_ev_per_atom=-5.15 pbc="T T T"
Na -5.886 -5.432 -1.955
H -4.223 -4.281 -4.367
H -6.859 -2.817 -0.498
H -3.633 -6.483 -0.023
H -4.404 -3.670 0.036
H -2.971 -4.580 -1.750
H -4.519 -2.727 -2.237
Te -9.364 -8.643 -3.111
O -4.791 -5.043 -4.004
O -7.091 -3.590 -1.118
O -4.593 -6.573 -0.350
O -4.607 -3.679 1.057
O -2.187 -5.158 -2.117
O -4.904 -1.960 -2.825
F -4.146 -3.827 -1.377

Entry 6:
5
Lattice="4.777 0.000 0.000 0.000 4.777 0.000 0.000 0.000 4.777" Properties=species:S:1:pos:R:3 comment="GaSi3Bi GGA-PBEsol optimized geometry" raw_formation_energy_mev_per_atom=753.8 relative_energy_ev_per_atom=0.000 pbc="T T T"
Si 0.000 2.388 0.000
Si 0.000 0.000 2.388
Si 2.388 0.000 0.000
Bi 2.388 2.388 2.388
Ga 0.000 0.000 0.000

Entry 7:
4
Lattice="-1.377 -3.220 -0.455 2.679 -1.850 4.982 -4.422 3.489 2.393" Properties=species:S:1:pos:R:3 comment="La2YSc GGA-PBEsol optimized geometry" ef_ev_per_atom=0.050 relative_energy_ev_per_atom=0.022 pbc="T T T"
Y -2.625 -1.120 2.160
Sc -3.759 0.950 4.651
La -3.120 -1.579 6.905
La -0.507 -0.459 4.781

Entry 8:
4
Lattice="-0.586 -0.315 -3.443 3.449 -0.290 -0.561 -0.553 -8.065 0.832" Properties=species:S:1:pos:R:3 comment="La2PtBr GGA-PBEsol optimized geometry" raw_formation_energy_mev_per_atom=-1153.8 relative_energy_ev_per_atom=0.135 pbc="T T T"
Br 1.431 -0.303 -2.002
Pt 1.155 -4.335 -1.586
La 3.043 -6.120 0.041
La -0.147 -2.235 0.229

Entry 9:
4
Lattice="2.970 0.013 0.000 -1.449 2.593 0.000 0.000 0.000 9.314" Properties=species:S:1:pos:R:3 comment="Tl2ReOs GGA-PBEsol optimized geometry" ef_ev_per_atom=1.185 relative_energy_ev_per_atom=0.000 pbc="T T T"
Os 0.761 1.303 4.657
Re 0.761 1.303 0.000
Tl 0.000 0.000 2.360
Tl 0.000 0.000 6.954

Entry 10:
4
Lattice="4.700 0.000 0.000 2.350 4.070 0.000 2.350 1.357 3.837" Properties=species:S:1:pos:R:3 comment="MnCoSb2 GGA-PBEsol optimized geometry" raw_formation_energy_mev_per_atom=657.7 relative_energy_ev_per_atom=0.527 pbc="T T T"
Co 4.700 2.713 1.919
Mn 2.350 1.357 0.959
Sb 0.000 0.000 0.000
Sb 7.050 4.070 2.878

Entry 11:
5
Lattice="4.467 0.000 0.000 0.000 4.467 0.000 0.000 0.000 4.467" Properties=species:S:1:pos:R:3 comment="NaTeOs3 GGA-PBEsol optimized geometry" raw_formation_energy_mev_per_atom=3015.8 pbc="T T T"
Na 0.000 0.000 0.000
Te 2.234 2.234 2.234
Os 0.000 2.234 0.000
Os 0.000 0.000 2.234
Os 2.234 0.000 0.000

Entry 12:
4
Lattice="-3.963 -0.564 0.114 0.569 -4.405 -2.027 2.485 -2.155 5.379" Properties=species:S:1:pos:R:3 comment="LiCa2Cd GGA-PBEsol optimized geometry" ef_ev_per_atom=-0.165 relative_energy_ev_per_atom=0.031 pbc="T T T"
Ca 0.103 -0.501 1.117
Ca 0.690 -4.167 3.370
Cd -1.657 -1.851 3.558
Li -1.506 -3.411 1.109

Entry 13:
4
Lattice="-0.431 -1.169 2.543 0.598 -4.504 -1.968 4.308 1.857 1.584" Properties=species:S:1:pos:R:3 comment="LiAl3 GGA-PBEsol optimized geometry" ef_ev_per_atom=-0.057 pbc="T T T"
Al 1.938 0.344 2.064
Al 0.083 -2.836 0.287
Al 2.453 -1.323 -0.192
Li 0.000 0.000 0.000

Entry 14:
10
Lattice="-2.298 -1.777 -0.202 2.778 -4.191 5.273 -3.508 3.969 5.003" Properties=species:S:1:pos:R:3 comment="Ti2ZnIr2 GGA-PBEsol optimized geometry" ef_ev_per_atom=-0.588 pbc="T T T"
Zn 0.000 0.000 0.000
Zn -0.365 -0.111 5.138
Ir -2.017 1.904 6.203
Ir 0.145 -1.066 7.737
Ir 1.287 -2.127 4.073
Ir -0.875 0.843 2.539
Ti -3.019 1.060 4.025
Ti -2.274 -0.306 7.581
Ti -0.009 -3.060 6.049
Ti -0.754 -1.694 2.493